No. 1
## KTl2Au (PBE-GGA)

Data for crystalline KTl2Au at its relaxed geometry.

The structure belongs to space group Pmmn (No. 59, origin choice 2); the cell edges are 4.8331, 6.7072 and 7.7604 Å and the angles 90.00°, 90.00° and 90.00°. The distinct sites, in fractional coordinates, are K at (0.2500, 0.2500, 0.0685), Tl at (0.2500, 0.5071, 0.6522) and Au at (0.2500, 0.7500, 0.3046).

The total energy is -19.3 eV per cell. For the formation energy from the elements, the calculation gives -142 meV/atom. For the size of the total moment, the calculation gives 0.0 Bohr magnetons per cell.

No. 2
## P2OsAuS (PBE-GGA)

Data for crystalline P2OsAuS at its relaxed geometry.

The structure belongs to space group P4/mmm (No. 123); the cell edges are 4.4316, 4.4316 and 5.2419 Å and the angles 90.00°, 90.00° and 90.00°. The distinct sites, in fractional coordinates, are P at (0.0000, 0.5000, 0.0000), Os at (0.0000, 0.0000, 0.0000), Au at (0.5000, 0.5000, 0.5000) and S at (0.0000, 0.0000, 0.5000).

The total energy is -25.6 eV per cell. The value obtained for the formation energy (no corrections) is 777 meV/atom. For the size of the total moment, the calculation gives 0.0 Bohr magnetons per cell. For the relative energy among the computed polymorphs, the calculation gives 0.000 eV per atom.

No. 3
## TbNi2Sn4 (PBE-GGA)

Data for crystalline TbNi2Sn4 at its relaxed geometry.

The structure belongs to space group Pnma (No. 62); the cell edges are 18.8050, 4.3286 and 7.2015 Å and the angles 90.00°, 90.00° and 90.00°. The distinct sites, in fractional coordinates, are Tb at (0.1402, 0.2500, 0.0061), Ni at (0.0382, 0.7500, 0.7576), Ni at (0.2126, 0.2500, 0.4775), Sn at (0.0285, 0.7500, 0.1361), Sn at (0.0677, 0.2500, 0.5045), Sn at (0.1784, 0.7500, 0.6989) and Sn at (0.2013, 0.7500, 0.2764).

The total energy is -138.7 eV per cell. For the formation energy from the elements, the calculation gives -355 meV/atom. For the size of the total moment, the calculation gives 0.0 Bohr magnetons per cell.